<i>
# La2ErAg (PBE, relaxed)
# * crystal system: cubic
data_La2ErAg
_chemical_formula_sum 'La8 Er4 Ag4'
_cell_length_a 7.8633
_cell_length_b 7.8633
_cell_length_c 7.8633
_cell_angle_alpha 90.00
_cell_angle_beta 90.00
_cell_angle_gamma 90.00
_symmetry_space_group_name_H-M 'F m -3 m'
_symmetry_Int_Tables_number 225
_symmetry_space_group_name_Hall '-F 4 2 3'
loop_
_atom_site_label
_atom_site_type_symbol
_atom_site_fract_x
_atom_site_fract_y
_atom_site_fract_z
_atom_site_occupancy
La1 La 0.2500 0.2500 0.2500 1
Er1 Er 0.0000 0.0000 0.0000 1
Ag1 Ag 0.0000 0.0000 0.5000 1

***

<ii>
# La2ErAg (PBE, relaxed)
# * crystal system: tetragonal
data_La2ErAg
_chemical_formula_sum 'La2 Er1 Ag1'
_cell_length_a 3.8166
_cell_length_b 3.8166
_cell_length_c 8.5843
_cell_angle_alpha 90.00
_cell_angle_beta 90.00
_cell_angle_gamma 90.00
_symmetry_space_group_name_H-M 'P 4/m m m'
_symmetry_Int_Tables_number 123
_symmetry_space_group_name_Hall '-P 4 2'
loop_
_atom_site_label
_atom_site_type_symbol
_atom_site_fract_x
_atom_site_fract_y
_atom_site_fract_z
_atom_site_occupancy
La1 La 0.0000 0.0000 0.2219 1
Er1 Er 0.5000 0.5000 0.5000 1
Ag1 Ag 0.5000 0.5000 0.0000 1

***

Most favorable structure: <ii>. The second most favorable one is 12.0 kJ/mol of atoms above it.